1.
The following is a DFT calculation (PBE) of a relaxed Al2CrPb crystal.

Cell lengths 4.296, 3.313, 5.628 Å; angles 73.40, 90.00, 90.00 degrees
Fractional coordinates of all 4 atoms:
Pb  0.500  0.720  0.697
Cr  0.000  0.316  0.493
Al  0.000  0.015  0.090
Al  0.500  0.449  0.221

Values from the calculation:
Formation energy: 0.347 eV per atom
D(E_F): 2.15 states/eV per cell
Total moment: 2.6 Bohr magnetons per cell

2.
The following is a DFT calculation (PBE) of a relaxed SbTeBr2 crystal.

Cell lengths 5.365, 5.365, 5.365 Å; angles 60.00, 60.00, 60.00 degrees
Fractional coordinates of all 4 atoms:
Sb  0.000  0.000  0.000
Te  0.500  0.500  0.500
Br  0.250  0.250  0.250
Br  0.750  0.750  0.750

Values from the calculation:
Raw formation energy: 0.342 eV/atom
D(E_F): 5.29 states/eV per cell
Total moment: 0.0 Bohr magnetons per cell

3.
The following is a DFT calculation (PBE) of a relaxed Ac8Ge5P crystal.

Cell lengths 8.415, 8.415, 8.415 Å; angles 109.53, 109.35, 109.53 degrees
Fractional coordinates of all 14 atoms:
Ac  0.126  0.745  0.001
Ac  0.999  0.125  0.744
Ac  0.753  0.249  0.373
Ac  0.627  0.380  0.876
Ac  0.496  0.620  0.247
Ac  0.618  0.875  0.874
Ac  0.256  0.255  0.382
Ac  0.124  0.751  0.504
Ge  0.001  0.375  0.125
Ge  0.875  0.877  0.250
Ge  0.750  0.625  0.626
Ge  0.500  0.000  0.500
Ge  0.374  0.123  0.999
P  0.250  0.500  0.750

Values from the calculation:
Formation energy: -0.781 eV per atom
D(E_F): 7.33 states/eV per cell
Total moment: 0.0 Bohr magnetons per cell

4.
The following is a DFT calculation (PBE) of a relaxed KNp2Br8 crystal.

Cell lengths 8.642, 8.615, 8.615 Å; angles 55.83, 76.94, 76.94 degrees
Fractional coordinates of all 11 atoms:
K  0.000  0.000  0.000
Np  0.682  0.795  0.795
Np  0.318  0.205  0.205
Br  0.209  0.365  0.872
Br  0.791  0.128  0.635
Br  0.357  0.829  0.829
Br  0.643  0.171  0.171
Br  0.209  0.872  0.365
Br  0.791  0.635  0.128
Br  0.804  0.615  0.615
Br  0.196  0.385  0.385

Values from the calculation:
Raw formation energy: -1.213 eV/atom
D(E_F): 17.55 states/eV per cell
Total moment: 7.0 Bohr magnetons per cell

5.
The following is a DFT calculation (PBE) of a relaxed Pm2Ge3 crystal.

Cell lengths 4.309, 7.400, 7.400 Å; angles 90.00, 90.00, 90.00 degrees
Fractional coordinates of all 10 atoms:
Pm  0.500  0.819  0.319
Pm  0.500  0.681  0.819
Pm  0.500  0.319  0.181
Pm  0.500  0.181  0.681
Ge  0.000  0.000  0.000
Ge  0.000  0.500  0.500
Ge  0.000  0.122  0.378
Ge  0.000  0.378  0.878
Ge  0.000  0.622  0.122
Ge  0.000  0.878  0.622

Values from the calculation:
Formation energy: -0.715 eV per atom
D(E_F): 4.24 states/eV per cell
Total moment: 0.0 Bohr magnetons per cell

6.
The following is a DFT calculation (PBE) of a relaxed Na3Ce2PuSe6 crystal.

Cell lengths 7.400, 7.400, 7.371 Å; angles 99.63, 99.63, 120.01 degrees
Fractional coordinates of all 12 atoms:
Na  0.167  0.833  0.500
Na  0.833  0.167  0.500
Na  0.500  0.500  0.500
Ce  0.333  0.667  0.000
Ce  0.667  0.333  0.000
Pu  0.000  0.000  0.000
Se  0.922  0.589  0.766
Se  0.745  0.745  0.234
Se  0.078  0.411  0.234
Se  0.589  0.922  0.766
Se  0.255  0.255  0.766
Se  0.411  0.078  0.234

Values from the calculation:
Raw formation energy: -1.556 eV/atom
D(E_F): 24.09 states/eV per cell
Total moment: 7.0 Bohr magnetons per cell

7.
The following is a DFT calculation (PBE) of a relaxed NaCaAu2 crystal.

Cell lengths 4.315, 4.315, 7.091 Å; angles 72.29, 72.29, 60.00 degrees
Fractional coordinates of all 4 atoms:
Na  0.496  0.496  0.512
Ca  0.670  0.670  0.991
Au  0.090  0.090  0.729
Au  0.244  0.244  0.268

Values from the calculation:
Formation energy: -0.438 eV per atom
D(E_F): 1.61 states/eV per cell
Total moment: 0.0 Bohr magnetons per cell

8.
The following is a DFT calculation (PBE) of a relaxed Pr3ScPa2P6 crystal.

Cell lengths 6.985, 6.985, 7.067 Å; angles 99.49, 99.49, 120.01 degrees
Fractional coordinates of all 12 atoms:
Pr  0.167  0.833  0.500
Pr  0.833  0.167  0.500
Pr  0.500  0.500  0.500
Sc  0.000  0.000  0.000
Pa  0.334  0.666  0.000
Pa  0.666  0.334  0.000
P  0.925  0.594  0.774
P  0.746  0.746  0.229
P  0.075  0.406  0.226
P  0.594  0.925  0.774
P  0.254  0.254  0.771
P  0.406  0.075  0.226

Values from the calculation:
Formation energy: -1.439 eV per atom
D(E_F): 8.68 states/eV per cell
Total moment: 0.0 Bohr magnetons per cell

9.
The following is a DFT calculation (PBE) of a relaxed ReMo5 crystal.

Cell lengths 3.157, 5.228, 6.318 Å; angles 72.38, 90.00, 107.57 degrees
Fractional coordinates of all 6 atoms:
Mo  0.026  0.052  0.945
Mo  0.360  0.720  0.778
Mo  0.694  0.389  0.611
Mo  0.029  0.058  0.444
Mo  0.363  0.726  0.277
Re  0.694  0.389  0.111

Values from the calculation:
Formation energy: 0.015 eV per atom
D(E_F): 5.18 states/eV per cell
Total moment: 0.0 Bohr magnetons per cell